[1]
First-principles (GGA-PBE) data for an optimized crystal structure of Ba2TlOs, as listed in Alexandria.

DOS at the Fermi energy: 0.904 states/eV per atom
Calculated density: 7.9 g cm⁻³
ΔH_f (0 K): 0.355 eV per atom
E above lowest polymorph: 18.6 kJ/mol of formula units

Unit cell a=4.6705 b=6.6051 c=6.6051 alpha=43.55 beta=90.00 gamma=90.00
Fractional coordinates of all 4 atoms:
Ba (0.0000, 0.0000, 0.0000)
Ba (0.5000, 0.2820, 0.2820)
Tl (0.5000, 0.5799, 0.5799)
Os (0.0000, 0.6983, 0.6983)

[2]
First-principles (GGA-PBE) data for an optimized crystal structure of ZnFeRe, as listed in Alexandria.

DOS at the Fermi energy: 0.719 states/eV per atom
Calculated density: 12.3 g cm⁻³
ΔH_f (0 K): 0.162 eV per atom
E above lowest polymorph: 15.8 kJ/mol of formula units

Unit cell a=6.7578 b=6.5821 c=2.6231 alpha=82.45 beta=74.92 gamma=22.63
Fractional coordinates of all 3 atoms:
Zn (0.0000, 0.0000, 0.0000)
Fe (0.3383, 0.3383, 0.6617)
Re (0.6778, 0.6778, 0.3222)

[3]
First-principles (GGA-PBE) data for an optimized crystal structure of Pr3GaSn4, as listed in Alexandria.

DOS at the Fermi energy: 0.483 states/eV per atom
Calculated density: 6.4 g cm⁻³
ΔH_f (0 K): -0.452 eV per atom

Unit cell a=8.7656 b=8.7656 c=8.7656 alpha=149.21 beta=133.04 gamma=57.21
Fractional coordinates of all 8 atoms:
Pr (0.0000, 0.0000, 0.0000)
Pr (0.3181, 0.8181, 0.5000)
Pr (0.6819, 0.1819, 0.5000)
Ga (0.5000, 0.5000, 0.0000)
Sn (0.0850, 0.3760, 0.7090)
Sn (0.3330, 0.6240, 0.7090)
Sn (0.6670, 0.3760, 0.2910)
Sn (0.9150, 0.6240, 0.2910)

[4]
First-principles (GGA-PBE) data for an optimized crystal structure of Sm2MnGa2Rh5, as listed in Alexandria.

DOS at the Fermi energy: 0.485 states/eV per atom
Calculated density: 9.7 g cm⁻³
ΔH_f (0 K): -0.614 eV per atom

Unit cell a=9.9381 b=9.9381 c=3.5100 alpha=90.00 beta=90.00 gamma=90.00
Fractional coordinates of all 20 atoms:
Sm (0.1743, 0.3257, 0.0000)
Sm (0.3257, 0.8257, 0.0000)
Sm (0.6743, 0.1743, 0.0000)
Sm (0.8257, 0.6743, 0.0000)
Mn (0.0000, 0.0000, 0.0000)
Mn (0.5000, 0.5000, 0.0000)
Ga (0.1249, 0.6249, 0.0000)
Ga (0.3751, 0.1249, 0.0000)
Ga (0.6249, 0.8751, 0.0000)
Ga (0.8751, 0.3751, 0.0000)
Rh (0.0000, 0.5000, 0.5000)
Rh (0.0650, 0.7969, 0.5000)
Rh (0.2031, 0.0650, 0.5000)
Rh (0.2969, 0.5650, 0.5000)
Rh (0.4350, 0.2969, 0.5000)
Rh (0.5000, 0.0000, 0.5000)
Rh (0.5650, 0.7031, 0.5000)
Rh (0.7031, 0.4350, 0.5000)
Rh (0.7969, 0.9350, 0.5000)
Rh (0.9350, 0.2031, 0.5000)

[5]
First-principles (GGA-PBE) data for an optimized crystal structure of Al5Pb, as listed in Alexandria.

DOS at the Fermi energy: 0.306 states/eV per atom
Calculated density: 4.8 g cm⁻³
ΔH_f (0 K): 0.212 eV per atom
E above lowest polymorph: 40.4 kJ/mol of formula units

Unit cell a=5.5285 b=5.5285 c=5.5285 alpha=60.00 beta=60.00 gamma=60.00
Fractional coordinates of all 6 atoms:
Al (0.0000, 0.0000, 0.0000)
Al (0.1237, 0.6254, 0.6254)
Al (0.6254, 0.1237, 0.6254)
Al (0.6254, 0.6254, 0.1237)
Al (0.6254, 0.6254, 0.6254)
Pb (0.2500, 0.2500, 0.2500)

[6]
First-principles (GGA-PBE) data for an optimized crystal structure of TbSm3Al2, as listed in Alexandria.

DOS at the Fermi energy: 0.889 states/eV per atom
Calculated density: 6.6 g cm⁻³
ΔH_f (0 K): -0.268 eV per atom
E above lowest polymorph: 0.0 kJ/mol of formula units

Unit cell a=5.1851 b=9.6709 c=6.6461 alpha=90.00 beta=90.00 gamma=90.00
Fractional coordinates of all 12 atoms:
Tb (0.0000, 0.0437, 0.0000)
Tb (0.0000, 0.9563, 0.5000)
Sm (0.0000, 0.3237, 0.6647)
Sm (0.0000, 0.6763, 0.1647)
Sm (0.5000, 0.1721, 0.2860)
Sm (0.5000, 0.4576, 0.9496)
Sm (0.5000, 0.5424, 0.4496)
Sm (0.5000, 0.8279, 0.7860)
Al (0.0000, 0.3505, 0.1825)
Al (0.0000, 0.6495, 0.6825)
Al (0.5000, 0.1475, 0.7694)
Al (0.5000, 0.8525, 0.2694)

[7]
First-principles (GGA-PBE) data for an optimized crystal structure of SrHfP2Cl, as listed in Alexandria.

Formation energy without anion corrections: 72 kJ/mol of atoms
DOS at the Fermi energy: 0.878 states/eV per atom
Calculated density: 4.1 g cm⁻³
E above lowest polymorph: 843.0 kJ/mol of formula units

Unit cell a=5.3910 b=5.3910 c=5.0512 alpha=90.00 beta=90.00 gamma=90.00
Fractional coordinates of all 5 atoms:
Sr (0.0000, 0.0000, 0.0000)
Hf (0.5000, 0.5000, 0.5000)
P (0.0000, 0.5000, 0.0000)
P (0.5000, 0.0000, 0.0000)
Cl (0.0000, 0.0000, 0.5000)

[8]
First-principles (GGA-PBE) data for an optimized crystal structure of KCo2Cu, as listed in Alexandria.

DOS at the Fermi energy: 1.006 states/eV per atom
Calculated density: 5.0 g cm⁻³
ΔH_f (0 K): 0.718 eV per atom
E above lowest polymorph: 73.3 kJ/mol of formula units

Unit cell a=2.6077 b=3.9285 c=7.1668 alpha=90.00 beta=90.39 gamma=90.00
Fractional coordinates of all 4 atoms:
K (0.0000, 0.0000, 0.0000)
Co (0.5002, 0.5000, 0.3513)
Co (0.4998, 0.5000, 0.6487)
Cu (0.0000, 0.0000, 0.5000)

Number 1: uncorrected energy -16.02 eV for the cell shown. Number 2: uncorrected energy -21.70 eV for the cell shown. Number 3: uncorrected energy -37.00 eV for the cell shown. Number 4: uncorrected energy -135.11 eV for the cell shown. Number 5: uncorrected energy -21.15 eV for the cell shown. Number 6: uncorrected energy -55.76 eV for the cell shown. Number 7: uncorrected energy -20.59 eV for the cell shown. Number 8: uncorrected energy -16.53 eV for the cell shown.